! PBE Mg2CuAs2Au, optimized geometry; values from VASP
&SYSTEM
  ibrav = 0, nat = 24, ntyp = 4
/
ATOMIC_SPECIES
Cu 63.55 Cu.upf
Au 196.97 Au.upf
As 74.92 As.upf
Mg 24.30 Mg.upf
CELL_PARAMETERS angstrom
7.509 0.000 0.000
0.000 4.314 0.000
-2.413 0.000 14.123
ATOMIC_POSITIONS crystal
Cu 0.004 0.500 0.506
Cu 0.498 0.000 0.504
Cu 0.002 0.000 0.997
Cu 0.248 0.000 0.747
Au 0.752 0.000 0.253
Au 0.249 0.500 0.251
Au 0.751 0.500 0.749
Au 0.498 0.500 0.996
As 0.059 0.000 0.177
As 0.817 0.000 0.449
As 0.830 0.500 0.942
As 0.293 0.000 0.927
As 0.077 0.500 0.685
As 0.315 0.500 0.447
As 0.562 0.500 0.187
As 0.544 0.000 0.682
Mg 0.687 0.500 0.560
Mg 0.941 0.500 0.320
Mg 0.429 0.500 0.807
Mg 0.439 0.000 0.319
Mg 0.183 0.500 0.060
Mg 0.943 0.000 0.811
Mg 0.186 0.000 0.563
Mg 0.694 0.000 0.061
! VASP energy: -86.06 eV for the cell shown

***

! PBE HfNiIr, optimized geometry; values from VASP
&SYSTEM
  ibrav = 0, nat = 3, ntyp = 3
/
ATOMIC_SPECIES
Ni 58.69 Ni.upf
Hf 178.49 Hf.upf
Ir 192.22 Ir.upf
CELL_PARAMETERS angstrom
2.099 -0.993 3.570
-1.309 1.554 3.743
-1.788 -2.587 2.872
ATOMIC_POSITIONS crystal
Ni 0.750 0.750 0.750
Hf 0.000 0.000 0.000
Ir 0.250 0.250 0.250
! excess energy over the best structure of this formula in the dataset: 21.1 kJ/mol of atoms
! formation energy from the elements: -0.1057 eV per atom

***

! PBE ZrFeSnAu, optimized geometry; values from VASP
&SYSTEM
  ibrav = 0, nat = 4, ntyp = 4
/
ATOMIC_SPECIES
Fe 55.84 Fe.upf
Zr 91.22 Zr.upf
Au 196.97 Au.upf
Sn 118.71 Sn.upf
CELL_PARAMETERS angstrom
0.000 3.325 3.325
3.325 0.000 3.325
3.325 3.325 0.000
ATOMIC_POSITIONS crystal
Fe 0.750 0.750 0.750
Zr 0.500 0.500 0.500
Au 0.250 0.250 0.250
Sn 0.000 0.000 0.000
! excess energy over the best structure of this formula in the dataset: 0.0 kJ/mol of atoms

***

! PBE Li2La2Ni15, optimized geometry; values from VASP
&SYSTEM
  ibrav = 0, nat = 19, ntyp = 3
/
ATOMIC_SPECIES
La 138.91 La.upf
Ni 58.69 Ni.upf
Li 6.94 Li.upf
CELL_PARAMETERS angstrom
1.012 1.709 5.999
5.619 -2.827 0.610
3.507 5.096 -1.292
ATOMIC_POSITIONS crystal
La 0.342 0.342 0.342
La 0.658 0.658 0.658
Ni 0.000 0.500 0.000
Ni 0.702 0.000 0.298
Ni 0.155 0.659 0.659
Ni 0.341 0.341 0.845
Ni 0.000 0.298 0.702
Ni 0.298 0.702 0.000
Ni 0.659 0.659 0.155
Ni 0.000 0.000 0.500
Ni 0.341 0.845 0.341
Ni 0.000 0.702 0.298
Ni 0.845 0.341 0.341
Ni 0.500 0.000 0.000
Ni 0.659 0.155 0.659
Ni 0.702 0.298 0.000
Ni 0.298 0.000 0.702
Li 0.093 0.093 0.093
Li 0.907 0.907 0.907
! VASP energy: -101.08 eV for the cell shown

***

! PBE PmDyPb, optimized geometry; values from VASP
&SYSTEM
  ibrav = 0, nat = 3, ntyp = 3
/
ATOMIC_SPECIES
Pb 207.20 Pb.upf
Pm 145.00 Pm.upf
Dy 162.50 Dy.upf
CELL_PARAMETERS angstrom
0.000 3.700 3.700
3.700 0.000 3.700
3.700 3.700 0.000
ATOMIC_POSITIONS crystal
Pb 0.000 0.000 0.000
Pm 0.750 0.750 0.750
Dy 0.250 0.250 0.250
! excess energy over the best structure of this formula in the dataset: 0.0 kJ/mol of atoms

***

! PBE BaCdTeO, optimized geometry; values from VASP
&SYSTEM
  ibrav = 0, nat = 16, ntyp = 4
/
ATOMIC_SPECIES
O 16.00 O.upf
Te 127.60 Te.upf
Ba 137.33 Ba.upf
Cd 112.41 Cd.upf
CELL_PARAMETERS angstrom
8.500 0.000 0.000
0.000 6.783 0.000
0.000 0.000 7.871
ATOMIC_POSITIONS crystal
O 0.599 0.103 0.270
O 0.901 0.897 0.770
O 0.401 0.603 0.230
O 0.099 0.397 0.730
Te 0.626 0.396 0.814
Te 0.874 0.604 0.314
Te 0.126 0.104 0.186
Te 0.374 0.896 0.686
Ba 0.816 0.091 0.492
Ba 0.316 0.409 0.508
Ba 0.684 0.909 0.992
Ba 0.184 0.591 0.008
Cd 0.106 0.090 0.825
Cd 0.606 0.410 0.175
Cd 0.394 0.910 0.325
Cd 0.894 0.590 0.675
! VASP energy: -67.04 eV for the cell shown

***

! PBE NpInB, optimized geometry; values from VASP
&SYSTEM
  ibrav = 0, nat = 3, ntyp = 3
/
ATOMIC_SPECIES
B 10.81 B.upf
In 114.82 In.upf
Np 237.00 Np.upf
CELL_PARAMETERS angstrom
3.811 -0.470 2.639
1.859 3.725 2.091
-0.298 0.466 4.626
ATOMIC_POSITIONS crystal
B 0.250 0.250 0.250
In 0.750 0.750 0.750
Np 0.000 0.000 0.000
! excess energy over the best structure of this formula in the dataset: 85.0 kJ/mol of atoms

***

! PBE TbCdInTe3, optimized geometry; values from VASP
&SYSTEM
  ibrav = 0, nat = 24, ntyp = 4
/
ATOMIC_SPECIES
Tb 158.93 Tb.upf
Te 127.60 Te.upf
In 114.82 In.upf
Cd 112.41 Cd.upf
CELL_PARAMETERS angstrom
15.216 0.000 0.000
0.000 4.468 0.000
0.000 0.000 11.932
ATOMIC_POSITIONS crystal
Tb 0.473 0.750 0.656
Tb 0.973 0.750 0.844
Tb 0.527 0.250 0.344
Tb 0.027 0.250 0.156
Te 0.098 0.750 0.624
Te 0.603 0.250 0.579
Te 0.344 0.250 0.733
Te 0.656 0.750 0.267
Te 0.897 0.750 0.079
Te 0.156 0.750 0.233
Te 0.397 0.750 0.421
Te 0.902 0.250 0.376
Te 0.103 0.250 0.921
Te 0.844 0.250 0.767
Te 0.402 0.250 0.124
Te 0.598 0.750 0.876
In 0.740 0.250 0.047
In 0.260 0.750 0.953
In 0.240 0.250 0.453
In 0.760 0.750 0.547
Cd 0.021 0.750 0.398
Cd 0.521 0.750 0.102
Cd 0.479 0.250 0.898
Cd 0.979 0.250 0.602
! excess energy over the best structure of this formula in the dataset: 0.4 kJ/mol of atoms

***

! PBE PmAg2H, optimized geometry; values from VASP
&SYSTEM
  ibrav = 0, nat = 4, ntyp = 3
/
ATOMIC_SPECIES
Pm 145.00 Pm.upf
H 1.01 H.upf
Ag 107.87 Ag.upf
CELL_PARAMETERS angstrom
0.572 -0.701 4.766
-3.852 -0.944 2.792
-0.599 -4.427 1.889
ATOMIC_POSITIONS crystal
Pm 0.500 0.500 0.500
H 0.000 0.000 0.000
Ag 0.750 0.750 0.750
Ag 0.250 0.250 0.250
! VASP energy: -12.25 eV for the cell shown

***

! PBE AcAlRe, optimized geometry; values from VASP
&SYSTEM
  ibrav = 0, nat = 3, ntyp = 3
/
ATOMIC_SPECIES
Re 186.21 Re.upf
Al 26.98 Al.upf
Ac 227.00 Ac.upf
CELL_PARAMETERS angstrom
0.000 3.333 3.333
3.333 0.000 3.333
3.333 3.333 0.000
ATOMIC_POSITIONS crystal
Re 0.000 0.000 0.000
Al 0.750 0.750 0.750
Ac 0.250 0.250 0.250
! excess energy over the best structure of this formula in the dataset: 0.0 kJ/mol of atoms

***

! PBE YInCoTc, optimized geometry; values from VASP
&SYSTEM
  ibrav = 0, nat = 4, ntyp = 4
/
ATOMIC_SPECIES
In 114.82 In.upf
Y 88.91 Y.upf
Tc 98.00 Tc.upf
Co 58.93 Co.upf
CELL_PARAMETERS angstrom
0.000 3.307 3.307
3.307 0.000 3.307
3.307 3.307 0.000
ATOMIC_POSITIONS crystal
In 0.000 0.000 0.000
Y 0.250 0.250 0.250
Tc 0.500 0.500 0.500
Co 0.750 0.750 0.750
! excess energy over the best structure of this formula in the dataset: 18.1 kJ/mol of atoms

***

! PBE TbHfAl, optimized geometry; values from VASP
&SYSTEM
  ibrav = 0, nat = 3, ntyp = 3
/
ATOMIC_SPECIES
Hf 178.49 Hf.upf
Tb 158.93 Tb.upf
Al 26.98 Al.upf
CELL_PARAMETERS angstrom
-2.790 -2.782 2.910
-3.777 -2.489 -1.879
0.211 -4.882 -0.342
ATOMIC_POSITIONS crystal
Hf 0.000 0.000 0.000
Tb 0.750 0.750 0.750
Al 0.250 0.250 0.250
! VASP energy: -16.33 eV for the cell shown

***

! PBE KYCdS3, optimized geometry; values from VASP
&SYSTEM
  ibrav = 0, nat = 12, ntyp = 4
/
ATOMIC_SPECIES
S 32.06 S.upf
K 39.10 K.upf
Y 88.91 Y.upf
Cd 112.41 Cd.upf
CELL_PARAMETERS angstrom
8.573 -2.025 0.000
8.573 2.025 0.000
-2.142 0.000 8.667
ATOMIC_POSITIONS crystal
S 0.334 0.334 0.214
S 0.000 0.000 0.500
S 0.666 0.666 0.786
S 0.666 0.666 0.372
S 0.334 0.334 0.628
S 0.500 0.500 0.000
K 0.857 0.857 0.933
K 0.143 0.143 0.067
Y 0.172 0.172 0.587
Y 0.828 0.828 0.413
Cd 0.493 0.493 0.279
Cd 0.507 0.507 0.721
! VASP energy: -58.18 eV for the cell shown

***

! PBE Nd3Dy2HoCoS2, optimized geometry; values from VASP
&SYSTEM
  ibrav = 0, nat = 9, ntyp = 5
/
ATOMIC_SPECIES
Nd 144.24 Nd.upf
Dy 162.50 Dy.upf
S 32.06 S.upf
Ho 164.93 Ho.upf
Co 58.93 Co.upf
CELL_PARAMETERS angstrom
-2.390 -1.139 2.792
5.141 2.770 5.531
-5.727 4.825 -2.935
ATOMIC_POSITIONS crystal
Nd 0.000 0.000 0.582
Nd 0.000 0.418 0.418
Nd 0.000 0.582 0.000
Dy 0.500 0.000 0.241
Dy 0.500 0.241 0.000
S 0.500 0.334 0.667
S 0.500 0.667 0.334
Ho 0.500 0.759 0.759
Co 0.000 0.999 0.999
! VASP energy: -50.62 eV for the cell shown

***

! PBE Li2InIrSe4, optimized geometry; values from VASP
&SYSTEM
  ibrav = 0, nat = 8, ntyp = 4
/
ATOMIC_SPECIES
Li 6.94 Li.upf
Se 78.96 Se.upf
In 114.82 In.upf
Ir 192.22 Ir.upf
CELL_PARAMETERS angstrom
-2.983 2.983 5.662
2.983 -2.983 5.662
2.983 2.983 -5.662
ATOMIC_POSITIONS crystal
Li 0.750 0.250 0.500
Li 0.000 0.000 0.000
Se 0.381 0.863 0.015
Se 0.633 0.619 0.481
Se 0.137 0.152 0.519
Se 0.848 0.367 0.985
In 0.250 0.750 0.500
Ir 0.500 0.500 0.000
! VASP energy: -33.05 eV for the cell shown

***

! PBE Pr3AlBrCl2, optimized geometry; values from VASP
&SYSTEM
  ibrav = 0, nat = 7, ntyp = 4
/
ATOMIC_SPECIES
Pr 140.91 Pr.upf
Al 26.98 Al.upf
Cl 35.45 Cl.upf
Br 79.90 Br.upf
CELL_PARAMETERS angstrom
-5.063 -2.980 -1.213
1.125 -3.758 4.537
-2.970 3.550 3.677
ATOMIC_POSITIONS crystal
Pr 0.000 0.500 0.500
Pr 0.500 0.000 0.500
Pr 0.000 0.000 0.000
Al 0.000 0.000 0.500
Cl 0.000 0.500 0.000
Cl 0.500 0.000 0.000
Br 0.500 0.500 0.500
! VASP energy: -33.02 eV for the cell shown

***

! PBE LiTaSeO, optimized geometry; values from VASP
&SYSTEM
  ibrav = 0, nat = 8, ntyp = 4
/
ATOMIC_SPECIES
Li 6.94 Li.upf
O 16.00 O.upf
Se 78.96 Se.upf
Ta 180.95 Ta.upf
CELL_PARAMETERS angstrom
3.158 0.000 0.000
-1.579 2.735 0.000
0.000 0.000 12.704
ATOMIC_POSITIONS crystal
Li 0.000 0.000 0.500
Li 0.000 0.000 0.000
O 0.333 0.667 0.388
O 0.667 0.333 0.612
Se 0.667 0.333 0.854
Se 0.333 0.667 0.146
Ta 0.000 0.000 0.714
Ta 0.000 0.000 0.286
! excess energy over the best structure of this formula in the dataset: 0.4 kJ/mol of atoms

***

! PBE HfNpMo, optimized geometry; values from VASP
&SYSTEM
  ibrav = 0, nat = 3, ntyp = 3
/
ATOMIC_SPECIES
Hf 178.49 Hf.upf
Np 237.00 Np.upf
Mo 95.94 Mo.upf
CELL_PARAMETERS angstrom
1.436 -4.116 -1.487
-3.031 -3.016 -1.709
-0.010 -0.952 -4.506
ATOMIC_POSITIONS crystal
Hf 0.250 0.250 0.250
Np 0.750 0.750 0.750
Mo 0.000 0.000 0.000
! excess energy over the best structure of this formula in the dataset: 0.0 kJ/mol of atoms
! formation energy from the elements: 0.5936 eV per atom

***

! PBE LaNd2Sn5Pb2, optimized geometry; values from VASP
&SYSTEM
  ibrav = 0, nat = 10, ntyp = 4
/
ATOMIC_SPECIES
Sn 118.71 Sn.upf
Nd 144.24 Nd.upf
La 138.91 La.upf
Pb 207.20 Pb.upf
CELL_PARAMETERS angstrom
2.310 -12.947 0.000
2.310 12.947 0.000
0.000 0.000 4.780
ATOMIC_POSITIONS crystal
Sn 0.290 0.710 0.500
Sn 0.500 0.500 0.500
Sn 0.404 0.596 0.000
Sn 0.710 0.290 0.500
Sn 0.596 0.404 0.000
Nd 0.188 0.812 0.000
Nd 0.812 0.188 0.000
La 0.000 0.000 0.000
Pb 0.902 0.098 0.500
Pb 0.098 0.902 0.500
! VASP energy: -47.59 eV for the cell shown

***

! PBE ErZr3Tl2C2, optimized geometry; values from VASP
&SYSTEM
  ibrav = 0, nat = 8, ntyp = 4
/
ATOMIC_SPECIES
Zr 91.22 Zr.upf
Er 167.26 Er.upf
Tl 204.38 Tl.upf
C 12.01 C.upf
CELL_PARAMETERS angstrom
-0.820 -0.615 3.267
1.028 -2.567 -2.019
14.578 2.578 4.144
ATOMIC_POSITIONS crystal
Zr 0.667 0.333 0.418
Zr 0.667 0.333 0.085
Zr 0.000 0.000 0.577
Er 0.000 0.000 0.916
Tl 0.667 0.333 0.743
Tl 0.000 0.000 0.252
C 0.333 0.667 0.498
C 0.333 0.667 0.010
! VASP energy: -57.85 eV for the cell shown